Entry 1:
DFT (PBE with a Hubbard U) results for VF4 after structural relaxation.

Calculated values
- Magnetic moment: 2.0 μB per cell
- E: -5.59 eV/atom

```
VF4
1.0
-3.3542 -0.0590 -4.6638
1.9844 -2.9971 -4.4816
-2.3086 -4.0862 1.7531
F V
8 2
Direct
0.4896 0.3060 0.0692
0.9721 0.2621 0.8755
0.2621 0.9721 0.3755
0.5104 0.6940 0.9308
0.3060 0.4896 0.5692
0.6940 0.5104 0.4308
0.0279 0.7379 0.1245
0.7379 0.0279 0.6245
0.6596 0.3404 0.7500
0.3404 0.6596 0.2500
```

Entry 2:
DFT (PBE with a Hubbard U) results for VF after structural relaxation.

Calculated values
- Magnetic moment: 2.0 μB per cell
- Polymorph energy (0 for the lowest one): 351 meV per atom

```
VF
1.0
8.7931 0.0000 0.0000
0.0000 8.7931 0.0000
0.0000 0.0000 2.8679
F V
8 8
Direct
0.1820 0.1508 0.5000
0.8180 0.8492 0.5000
0.1508 0.8180 0.5000
0.6820 0.6508 0.0000
0.8492 0.1820 0.5000
0.3492 0.6820 0.0000
0.6508 0.3180 0.0000
0.3180 0.3492 0.0000
0.6560 0.9067 0.0000
0.4067 0.8440 0.5000
0.5933 0.1560 0.5000
0.0933 0.6560 0.0000
0.1560 0.4067 0.5000
0.8440 0.5933 0.5000
0.9067 0.3440 0.0000
0.3440 0.0933 0.0000
```

Entry 3:
DFT (PBE with a Hubbard U) results for VF4 after structural relaxation.

Calculated values
- Magnetic moment: 8.0 μB per cell
- E: -5.64 eV/atom

```
VF4
1.0
7.5068 0.0000 0.0000
0.0000 7.6700 0.0000
0.0000 0.0000 10.9604
F V
32 8
Direct
0.7500 0.9279 0.7109
0.7500 0.1774 0.2104
0.5538 0.3778 0.9064
0.2500 0.0721 0.2891
0.0532 0.1252 0.7609
0.5538 0.1222 0.4064
0.9465 0.8724 0.9069
0.9468 0.6252 0.7391
0.5535 0.6276 0.4069
0.4462 0.6222 0.0936
0.4465 0.3724 0.5931
0.9462 0.3778 0.9064
0.9462 0.1222 0.4064
0.5532 0.6252 0.7391
0.0538 0.6222 0.0936
0.7500 0.5721 0.2109
0.0532 0.3748 0.2609
0.4465 0.1276 0.0931
0.9468 0.8748 0.2391
0.7500 0.3226 0.7104
0.5532 0.8748 0.2391
0.4468 0.1252 0.7609
0.4468 0.3748 0.2609
0.2500 0.4279 0.7891
0.4462 0.8778 0.5936
0.9465 0.6276 0.4069
0.0538 0.8778 0.5936
0.2500 0.8226 0.7896
0.0535 0.3724 0.5931
0.2500 0.6774 0.2896
0.5535 0.8724 0.9069
0.0535 0.1276 0.0931
0.0000 0.1248 0.2498
0.0000 0.8752 0.7502
0.5000 0.8752 0.7502
0.5000 0.6248 0.2502
0.0000 0.3752 0.7498
0.5000 0.1248 0.2498
0.5000 0.3752 0.7498
0.0000 0.6248 0.2502
```

Entry 4:
DFT (PBE with a Hubbard U) results for VF4 after structural relaxation.

Calculated values
- Magnetic moment: 2.0 μB per cell
- E: -5.54 eV/atom

```
VF4
1.0
4.7599 0.0000 1.3700
2.4621 3.9512 0.3997
0.1262 -1.2468 8.5156
F V
8 2
Direct
0.3953 0.0706 0.2100
0.3241 0.5706 0.7100
0.6047 0.9294 0.7900
0.8491 0.8304 0.4252
0.1047 0.6696 0.0748
0.8953 0.3304 0.9252
0.1509 0.1696 0.5748
0.6759 0.4294 0.2900
0.7596 0.7500 0.2500
0.2404 0.2500 0.7500
```

Entry 5:
DFT (PBE with a Hubbard U) results for VF4 after structural relaxation.

Calculated values
- Magnetic moment: 1.0 μB per cell
- E: -5.60 eV/atom

```
VF4
1.0
-1.9035 0.1543 4.6058
-0.9910 -4.5549 -1.7694
2.6767 -1.0254 1.1406
V F
1 4
Direct
0.0000 0.0000 0.0000
0.7781 0.2219 0.0000
0.2070 0.2070 0.5000
0.7930 0.7930 0.5000
0.2219 0.7781 0.0000
```

Entry 6:
DFT (PBE with a Hubbard U) results for VF4 after structural relaxation.

Calculated values
- Magnetic moment: 8.0 μB per cell
- E: -5.60 eV/atom

```
VF4
1.0
5.5206 0.0000 0.0000
0.0000 9.2396 0.0000
0.0000 0.0000 10.8202
F V
32 8
Direct
0.5061 0.6708 0.9040
0.0101 0.2451 0.1342
0.0061 0.1708 0.5960
0.4939 0.1708 0.0960
0.9939 0.6708 0.4040
0.9062 0.4943 0.9586
0.2686 0.4874 0.7894
0.9899 0.7451 0.8658
0.8293 0.9331 0.4621
0.7129 0.2022 0.4202
0.2207 0.2047 0.8191
0.5938 0.4943 0.4586
0.6707 0.9331 0.9621
0.5101 0.7451 0.3658
0.4899 0.2451 0.6342
0.1707 0.4331 0.5379
0.2871 0.7022 0.5798
0.3653 0.8933 0.7828
0.7314 0.9874 0.2106
0.7207 0.7047 0.6809
0.8653 0.3933 0.7172
0.7793 0.7047 0.1809
0.3293 0.4331 0.0379
0.2793 0.2047 0.3191
0.2129 0.7022 0.0798
0.6347 0.3933 0.2172
0.7686 0.9874 0.7106
0.4062 0.9943 0.5414
0.0938 0.9943 0.0414
0.1347 0.8933 0.2828
0.7871 0.2022 0.9202
0.2314 0.4874 0.2894
0.6565 0.8205 0.8051
0.3435 0.3205 0.1949
0.8241 0.0937 0.0515
0.6759 0.0937 0.5515
0.1565 0.3205 0.6949
0.8435 0.8205 0.3051
0.3241 0.5937 0.4485
0.1759 0.5937 0.9485
```

Entry 7:
DFT (PBE with a Hubbard U) results for VF6 after structural relaxation.

Calculated values
- Magnetic moment: 1.0 μB per cell
- E: -4.63 eV/atom

```
VF6
1.0
4.6602 0.0000 0.0000
0.0000 4.3320 -2.5011
0.0000 0.0000 5.0021
F V
6 1
Direct
0.2245 0.2955 0.2955
0.7755 0.0000 0.2955
0.7755 0.2955 0.0000
0.7755 0.7045 0.7045
0.2245 0.0000 0.7045
0.2245 0.7045 0.0000
0.0000 0.0000 0.0000
```

Entry 8:
DFT (PBE with a Hubbard U) results for VF after structural relaxation.

Calculated values
- Magnetic moment: 27.7 μB per cell
- Polymorph energy (0 for the lowest one): 166 meV per atom

```
VF
1.0
9.2531 0.0000 0.0000
0.0000 9.2531 0.0000
0.0000 0.0000 3.2076
F V
8 8
Direct
0.6244 0.2884 0.5000
0.3756 0.7116 0.5000
0.8756 0.2116 0.0000
0.2116 0.1244 0.0000
0.7884 0.8756 0.0000
0.7116 0.6244 0.5000
0.1244 0.7884 0.0000
0.2884 0.3756 0.5000
0.6900 0.0799 0.0000
0.0799 0.3100 0.0000
0.5799 0.8100 0.5000
0.1900 0.5799 0.5000
0.8100 0.4201 0.5000
0.9201 0.6900 0.0000
0.3100 0.9201 0.0000
0.4201 0.1900 0.5000
```

Entry 9:
DFT (PBE with a Hubbard U) results for V4F after structural relaxation.

Calculated values
- Magnetic moment: 6.0 μB per cell
- E: -5.75 eV/atom

```
V4F
1.0
4.3920 0.0000 0.0000
0.0000 4.3920 0.0000
0.0000 0.0000 4.3920
V F
4 1
Direct
0.0000 0.5000 0.5000
0.5000 0.5000 0.0000
0.0000 0.0000 0.0000
0.5000 0.0000 0.5000
0.5000 0.5000 0.5000
```

Entry 10:
DFT (PBE with a Hubbard U) results for V6F13 after structural relaxation.

Calculated values
- Magnetic moment: 34.0 μB per cell
- E: -6.28 eV/atom

```
V6F13
1.0
-7.4569 2.0133 -2.3031
-6.1755 -4.1119 3.3519
-3.8269 5.5285 8.0469
F V
26 12
Direct
0.8868 0.4431 0.6111
0.3139 0.2871 0.6166
0.7699 0.8147 0.8641
0.8232 0.3226 0.1477
0.2301 0.1853 0.1359
0.6494 0.5196 0.8747
0.5333 0.4338 0.3765
0.0265 0.7219 0.6281
0.9735 0.2781 0.3719
0.1054 0.8807 0.1553
0.5583 0.6876 0.1289
0.3953 0.1281 0.4017
0.8946 0.1193 0.8447
0.9458 0.5845 0.1054
0.4417 0.3124 0.8711
0.1637 0.9982 0.6091
0.2620 0.8439 0.3628
0.6861 0.7129 0.3834
0.1768 0.6774 0.8523
0.8363 0.0018 0.3909
0.1132 0.5569 0.3889
0.4667 0.5662 0.6235
0.6047 0.8719 0.5983
0.0542 0.4155 0.8946
0.3506 0.4804 0.1253
0.7380 0.1561 0.6372
0.7826 0.5665 0.9815
0.1339 0.2796 0.5024
0.2460 0.4860 0.7285
0.3160 0.6439 0.2481
0.7540 0.5140 0.2715
0.0428 0.0816 0.2520
0.9572 0.9184 0.7480
0.2174 0.4335 0.0185
0.6840 0.3561 0.7519
0.5780 0.1569 0.5031
0.8661 0.7204 0.4976
0.4220 0.8431 0.4969
```

Entry 11:
DFT (PBE with a Hubbard U) results for VF4 after structural relaxation.

Calculated values
- Magnetic moment: 6.0 μB per cell
- E: -5.61 eV/atom

```
VF4
1.0
-1.4264 4.3998 -6.1946
-7.2373 -2.7070 0.2444
-1.5529 5.7428 4.9371
F V
24 6
Direct
0.7546 0.6821 0.4599
0.6401 0.0809 0.0258
0.3179 0.5401 0.2454
0.0809 0.0258 0.6401
0.6815 0.7573 0.9494
0.9742 0.3599 0.9191
0.2427 0.0506 0.3185
0.7573 0.9494 0.6815
0.4767 0.1176 0.7251
0.5233 0.8824 0.2749
0.5401 0.2454 0.3179
0.1176 0.7251 0.4767
0.3599 0.9191 0.9742
0.8824 0.2749 0.5233
0.7251 0.4767 0.1176
0.2749 0.5233 0.8824
0.9191 0.9742 0.3599
0.3185 0.2427 0.0506
0.0258 0.6401 0.0809
0.2454 0.3179 0.5401
0.0506 0.3185 0.2427
0.6821 0.4599 0.7546
0.4599 0.7546 0.6821
0.9494 0.6815 0.7573
0.1849 0.4495 0.0704
0.8151 0.5505 0.9296
0.0704 0.1849 0.4495
0.9296 0.8151 0.5505
0.5505 0.9296 0.8151
0.4495 0.0704 0.1849
```

Entry 12:
DFT (PBE with a Hubbard U) results for VF after structural relaxation.

Calculated values
- Magnetic moment: 47.8 μB per cell
- Polymorph energy (0 for the lowest one): 55 meV per atom

```
VF
1.0
9.2642 0.0000 0.0000
0.0000 7.4643 0.0000
0.0000 0.0000 7.1440
V F
16 16
Direct
0.7500 0.5241 0.2500
0.2500 0.5241 0.7500
0.5000 0.7259 0.5000
0.7500 0.4759 0.7500
0.2500 0.4759 0.2500
0.0000 0.2741 0.0000
0.7500 0.0241 0.7500
0.0000 0.7741 0.5000
0.2500 0.9759 0.7500
0.2500 0.0241 0.2500
0.5000 0.2259 0.0000
0.7500 0.9759 0.2500
0.0000 0.7259 0.0000
0.0000 0.2259 0.5000
0.5000 0.7741 0.0000
0.5000 0.2741 0.5000
0.8834 0.7500 0.7500
0.3834 0.7500 0.2500
0.6334 0.0000 0.5000
0.8666 0.0000 0.0000
0.8666 0.5000 0.5000
0.6166 0.2500 0.2500
0.3834 0.2500 0.7500
0.1334 0.5000 0.5000
0.6166 0.7500 0.7500
0.1166 0.2500 0.7500
0.1334 0.0000 0.0000
0.1166 0.7500 0.2500
0.3666 0.0000 0.5000
0.8834 0.2500 0.2500
0.3666 0.5000 0.0000
0.6334 0.5000 0.0000
```

Entry 13:
DFT (PBE with a Hubbard U) results for VF after structural relaxation.

Calculated values
- Magnetic moment: 19.6 μB per cell
- Polymorph energy (0 for the lowest one): 0 meV per atom

```
VF
1.0
12.0399 0.0000 0.0000
0.0000 5.3455 0.0000
0.0000 0.0000 3.1322
F V
6 6
Direct
0.2123 0.1934 0.0000
0.0000 0.2879 0.5000
0.2877 0.8066 0.5000
0.7877 0.1934 0.0000
0.5000 0.7121 0.0000
0.7123 0.8066 0.5000
0.5000 0.4153 0.5000
0.0000 0.5847 0.0000
0.8710 0.9956 0.5000
0.3710 0.0044 0.0000
0.6290 0.0044 0.0000
0.1290 0.9956 0.5000
```

Entry 14:
DFT (PBE with a Hubbard U) results for VF after structural relaxation.

Calculated values
- Magnetic moment: 13.8 μB per cell
- Polymorph energy (0 for the lowest one): 341 meV per atom

```
VF
1.0
7.0014 0.0000 0.0000
0.0000 7.0014 0.0000
0.0000 0.0000 3.1201
F V
4 4
Direct
0.7140 0.2860 0.0000
0.2860 0.7140 0.0000
0.7860 0.7860 0.5000
0.2140 0.2140 0.5000
0.1405 0.8595 0.5000
0.6405 0.6405 0.0000
0.3595 0.3595 0.0000
0.8595 0.1405 0.5000
```

Entry 15:
DFT (PBE with a Hubbard U) results for VF4 after structural relaxation.

Calculated values
- Magnetic moment: 2.0 μB per cell
- E: -5.05 eV/atom

```
VF4
1.0
-1.1366 -1.4192 -3.4074
1.3029 -3.4901 1.0190
-3.4536 -0.8496 1.5059
F V
4 1
Direct
0.0000 0.5000 0.5000
0.0000 0.0000 0.0000
0.5000 0.5000 0.0000
0.5000 0.0000 0.5000
0.5000 0.5000 0.5000
```

Entry 16:
DFT (PBE with a Hubbard U) results for V2F13 after structural relaxation.

Calculated values
- Magnetic moment: 1.1 μB per cell
- E: -4.53 eV/atom

```
V2F13
1.0
5.3368 -0.0661 -0.1319
-0.7588 6.3151 -0.2065
-0.7961 -3.4611 7.1377
F V
13 2
Direct
0.6660 0.7244 0.4901
0.2176 0.8400 0.2167
0.4313 0.3903 0.9222
0.0000 0.0000 0.0000
0.7824 0.1600 0.7833
0.8723 0.0284 0.3138
0.9305 0.5917 0.7040
0.3340 0.2756 0.5099
0.5401 0.8079 0.8121
0.1277 0.9716 0.6862
0.0695 0.4083 0.2960
0.5687 0.6097 0.0778
0.4599 0.1921 0.1879
0.1760 0.1473 0.2715
0.8240 0.8527 0.7285
```